## Cr5Cu4 (PBE-GGA)

Data for Cr5Cu4 after structural relaxation.

Cell: 7.915 7.915 3.363 Å, 90.00 90.00 90.00°
Space group I4/mmm (No. 139)
Inequivalent atoms, fractional coordinates:
Cr 0.000 0.000 0.000
Cr 0.167 0.167 0.500
Cu 0.000 0.336 0.000

Properties
Spin magnetization   0.000 Bohr magnetons per cell
N(E_F)   9.71 states/eV/f.u.
Distance to the lowest polymorph of the same formula   0.000 eV/atom
Calculated formation energy   0.282 eV/atom
Calculated total energy   -123.929 eV/cell


## Cr3Cu (PBE-GGA)

Data for Cr3Cu after structural relaxation.

Cell: 4.074 5.053 4.590 Å, 90.00 90.00 90.00°
Space group Pmmn (No. 59, origin choice 2)
Inequivalent atoms, fractional coordinates:
Cr 0.250 0.018 0.155
Cr 0.250 0.750 0.668
Cu 0.250 0.250 0.661

Properties
Spin magnetization   0.000 Bohr magnetons per cell
N(E_F)   4.88 states/eV/f.u.
Calculated formation energy   0.322 eV/atom
Calculated total energy   -63.355 eV/cell


## CrCu (PBE-GGA)

Data for CrCu after structural relaxation.

Cell: 2.888 3.944 8.281 Å, 90.00 90.00 90.00°
Space group Cmme (No. 67)
Inequivalent atoms, fractional coordinates:
Cr 0.000 0.250 0.120
Cu 0.000 0.250 0.626

Properties
Spin magnetization   0.000 Bohr magnetons per cell
N(E_F)   1.46 states/eV/f.u.
Calculated formation energy   0.163 eV/atom
Calculated total energy   -53.571 eV/cell


## CrCu (PBE-GGA)

Data for CrCu after structural relaxation.

Cell: 9.905 2.408 6.114 Å, 90.00 103.01 90.00°
Space group Cm (No. 8)
Inequivalent atoms, fractional coordinates:
Cr 0.000 0.000 0.000
Cr 0.047 0.000 0.643
Cr 0.150 0.500 0.343
Cu 0.229 0.500 0.969
Cu 0.319 0.000 0.670
Cu 0.384 0.000 0.300

Properties
Spin magnetization   0.002 Bohr magnetons per cell
N(E_F)   2.04 states/eV/f.u.
Calculated formation energy   0.327 eV/atom
Calculated total energy   -78.399 eV/cell


## Cr3Cu (PBE-GGA)

Data for Cr3Cu after structural relaxation.

Cell: 8.2350 8.2350 2.3862 Å, 90.00 90.00 120.00°
Space group R-3m (No. 166, hexagonal axes)
Inequivalent atoms, fractional coordinates:
Cr 0.0000 0.5000 0.0000
Cu 0.0000 0.0000 0.0000

Properties
Spin magnetization   0.000 Bohr magnetons per cell
N(E_F)   4.68 states/eV/f.u.
Calculated formation energy   0.240 eV/atom
Calculated total energy   -96.016 eV/cell


## CrCu (PBE-GGA)

Data for CrCu after structural relaxation.

Cell: 4.768 4.768 4.953 Å, 90.00 90.00 90.00°
Space group P4_2/mnm (No. 136)
Inequivalent atoms, fractional coordinates:
Cr 0.144 0.144 0.000
Cu 0.170 0.170 0.500

Properties
Spin magnetization   0.008 Bohr magnetons per cell
N(E_F)   2.68 states/eV/f.u.
Calculated formation energy   0.951 eV/atom
Calculated total energy   -47.268 eV/cell